This record from Alexandria via LeMat-Bulk describes HfBiSCl2 at its PBEsol-relaxed geometry. The functional is SCAN.

Cell lengths 5.300, 5.300, 5.351 Å; angles 90.00, 90.00, 90.00 degrees
Positions (direct):
Cl1 0.500 0.000 0.000
S1 0.000 0.000 0.500
Bi1 0.000 0.000 0.000
Hf1 0.500 0.500 0.500
Cl2 0.000 0.500 0.000

Properties
Total magnetic moment   0.95 μB per cell
Formation energy (no corrections)   0.4285 eV/atom
Fermi-level density of states   0.323 states/eV per atom
Space group   P4/mmm, No. 123
Calculated density   5.418 g/cm3

This record from Alexandria via LeMat-Bulk describes HfBiSbCl2 at its PBEsol-relaxed geometry. The functional is SCAN.

Cell lengths 4.914, 4.914, 6.087 Å; angles 90.00, 90.00, 90.00 degrees
Positions (direct):
Cl1 0.500 0.000 0.000
Cl2 0.000 0.500 0.000
Hf1 0.000 0.000 0.500
Bi1 0.500 0.500 0.500
Sb1 0.000 0.000 0.000

Properties
Total magnetic moment   0.00 μB per cell
Formation energy (no corrections)   0.2861 eV/atom
Fermi-level density of states   0.513 states/eV per atom
Space group   P4/mmm, No. 123
Calculated density   6.554 g/cm3

This record from Alexandria via LeMat-Bulk describes HgBiCl3 at its PBEsol-relaxed geometry. The functional is SCAN.

Cell lengths 6.647, 7.752, 7.646 Å; angles 67.38, 62.17, 59.51 degrees
Positions (direct):
Cl1 0.456 0.108 0.276
Bi1 0.324 0.805 0.559
Cl2 0.880 0.099 0.728
Hg1 0.770 0.418 0.996
Bi2 0.676 0.195 0.441
Cl3 0.222 0.455 0.624
Cl4 0.778 0.545 0.376
Cl5 0.544 0.892 0.724
Cl6 0.120 0.901 0.272
Hg2 0.230 0.582 0.004

Properties
Total magnetic moment   0.00 μB per cell
Formation energy (no corrections)   -0.7253 eV/atom
Fermi-level density of states   0.000 states/eV per atom
Space group   P-1, No. 2
Calculated density   5.818 g/cm3